# NiAuO, optimized geometry, DFT GGA+U
data_NiAuO
_chemical_formula_sum 'Ni2 Au2 O2'
_cell_length_a 2.895
_cell_length_b 2.895
_cell_length_c 9.467
_cell_angle_alpha 90.00
_cell_angle_beta 90.00
_cell_angle_gamma 90.00
_space_group_name_H-M_alt 'P 4/n m m'
_space_group_IT_number 129
loop_
_space_group_symop_operation_xyz
'x,y,z'
'-x,-y,-z'
'-y+1/2,x,z'
'y+1/2,-x,-z'
'-x+1/2,-y+1/2,z'
'x+1/2,y+1/2,-z'
'y,-x+1/2,z'
'-y,x+1/2,-z'
'x+1/2,-y,-z'
'-x+1/2,y,z'
'-y,-x,-z'
'y,x,z'
'-x,y+1/2,-z'
'x,-y+1/2,z'
'y+1/2,x+1/2,-z'
'-y+1/2,-x+1/2,z'
loop_
_atom_site_label
_atom_site_fract_x
_atom_site_fract_y
_atom_site_fract_z
Ni1 0.250 0.250 0.117
Au1 0.250 0.250 0.610
O1 0.250 0.250 0.892
# calculated total energy: -4.074 eV per atom
# calculated volume: 79 Å³/cell